Entry 1:
Compound: YHo3Sc4
Source: the Alexandria database
Functional: GGA-PBE
Structure: optimized geometry

Unit cell a=10.762 b=6.939 c=6.004 alpha=90.00 beta=90.00 gamma=90.00
Positions (direct):
Y 0.000 0.133 0.000
Y 0.500 0.867 0.500
Ho 0.000 0.866 0.501
Ho 0.250 0.134 0.343
Ho 0.250 0.866 0.843
Ho 0.500 0.134 0.001
Ho 0.750 0.134 0.343
Ho 0.750 0.866 0.843
Sc 0.000 0.383 0.508
Sc 0.000 0.618 0.007
Sc 0.249 0.617 0.334
Sc 0.251 0.383 0.834
Sc 0.500 0.382 0.507
Sc 0.500 0.617 0.008
Sc 0.749 0.383 0.834
Sc 0.751 0.617 0.334

For the final energy, the calculation gives -5.6640 eV per atom. The value obtained for the volume is 28.02 Å³ per atom. As for the size of the total moment: 0.000 μB/atom. For the density of states at the Fermi level, the calculation gives 31.74 states/eV/cell. The crystal system is orthorhombic.



Entry 2:
Compound: Sc2HgPt
Source: the Alexandria database
Functional: GGA-PBE
Structure: optimized geometry

Unit cell a=4.822 b=4.822 c=3.388 alpha=90.00 beta=90.00 gamma=90.06
Positions (direct):
Sc 0.000 0.500 0.000
Sc 0.500 0.000 0.000
Hg 0.000 0.000 0.500
Pt 0.500 0.500 0.500

For the final energy, the calculation gives -5.5447 eV per atom. The value obtained for the volume is 19.70 Å³ per atom. As for the size of the total moment: 0.000 μB/atom. For the density of states at the Fermi level, the calculation gives 2.30 states/eV/cell. The crystal system is orthorhombic.



Entry 3:
Compound: Rb2NbTe4
Source: the Alexandria database
Functional: GGA-PBE
Structure: optimized geometry

Unit cell a=10.035 b=10.035 c=10.035 alpha=148.07 beta=148.07 gamma=45.78
Positions (direct):
Rb 0.149 0.149 0.000
Rb 0.851 0.851 0.000
Nb 0.500 0.500 0.000
Te 0.000 0.500 0.500
Te 0.349 0.349 0.000
Te 0.500 0.000 0.500
Te 0.651 0.651 0.000

For the final energy, the calculation gives -4.0026 eV per atom. The value obtained for the volume is 40.25 Å³ per atom. As for the size of the total moment: 0.000 μB/atom. For the density of states at the Fermi level, the calculation gives 8.99 states/eV/cell. The crystal system is tetragonal. For the formation energy without anion corrections, the calculation gives -0.4924 eV/atom.